No. 1
DFT (PBE) results for a geometry-optimized Pm3ScTl2 structure.

Results
Formation energy from the elements   -0.24 eV/atom
DFT total energy   -4.454 eV/atom
Volume   30.17 A^3/atom
DOS at the Fermi energy   6.8 states/eV/f.u.

Cell and atoms, written as CIF:
```
data_Pm3ScTl2
_symmetry_space_group_name_H-M 'P 1'
_symmetry_Int_Tables_number 1
_symmetry_space_group_name_Hall 'P 1'
_cell_length_a 6.612
_cell_length_b 6.570
_cell_length_c 9.548
_cell_angle_alpha 110.12
_cell_angle_beta 110.26
_cell_angle_gamma 90.00
loop_
_atom_site_label
_atom_site_fract_x
_atom_site_fract_y
_atom_site_fract_z
Pm1 0.424 0.676 0.352
Pm2 0.576 0.324 0.648
Pm3 0.071 0.824 0.648
Pm4 0.929 0.176 0.352
Pm5 0.500 0.750 0.000
Pm6 0.500 0.250 0.000
Sc1 0.000 0.250 0.000
Sc2 0.000 0.750 0.000
Tl1 0.368 0.132 0.265
Tl2 0.632 0.868 0.735
Tl3 0.103 0.368 0.735
Tl4 0.897 0.632 0.265
```


No. 2
DFT (PBE) results for a geometry-optimized PmScTl structure.

Results
Formation energy from the elements   -0.11 eV/atom
DFT total energy   -4.595 eV/atom
Volume   28.59 A^3/atom
DOS at the Fermi energy   3.1 states/eV/f.u.

Cell and atoms, written as CIF:
```
data_PmScTl
_symmetry_space_group_name_H-M 'P 1'
_symmetry_Int_Tables_number 1
_symmetry_space_group_name_Hall 'P 1'
_cell_length_a 3.611
_cell_length_b 3.611
_cell_length_c 13.403
_cell_angle_alpha 97.74
_cell_angle_beta 97.74
_cell_angle_gamma 90.00
loop_
_atom_site_label
_atom_site_fract_x
_atom_site_fract_y
_atom_site_fract_z
Pm1 0.568 0.568 0.136
Pm2 0.432 0.432 0.864
Sc1 0.286 0.286 0.572
Sc2 0.714 0.714 0.428
Tl1 0.148 0.148 0.296
Tl2 0.852 0.852 0.704
```


No. 3
DFT (PBE) results for a geometry-optimized PmSc4Tl structure.

Results
Formation energy from the elements   -0.11 eV/atom
DFT total energy   -5.521 eV/atom
Volume   25.95 A^3/atom
DOS at the Fermi energy   6.6 states/eV/f.u.

Cell and atoms, written as CIF:
```
data_PmSc4Tl
_symmetry_space_group_name_H-M 'P 1'
_symmetry_Int_Tables_number 1
_symmetry_space_group_name_Hall 'P 1'
_cell_length_a 3.417
_cell_length_b 8.954
_cell_length_c 10.176
_cell_angle_alpha 90.00
_cell_angle_beta 90.00
_cell_angle_gamma 90.00
loop_
_atom_site_label
_atom_site_fract_x
_atom_site_fract_y
_atom_site_fract_z
Pm1 0.000 0.552 0.750
Pm2 0.000 0.448 0.250
Sc1 0.000 0.000 0.500
Sc2 0.000 0.000 0.000
Sc3 0.500 0.880 0.750
Sc4 0.500 0.120 0.250
Sc5 0.500 0.686 0.018
Sc6 0.500 0.314 0.982
Sc7 0.500 0.686 0.482
Sc8 0.500 0.314 0.518
Tl1 0.000 0.180 0.750
Tl2 0.000 0.820 0.250
```


No. 4
DFT (PBE) results for a geometry-optimized Pm2Sc2Tl7 structure.

Results
Formation energy from the elements   0.08 eV/atom
DFT total energy   -3.443 eV/atom
Volume   31.36 A^3/atom
DOS at the Fermi energy   7.7 states/eV/f.u.

Cell and atoms, written as CIF:
```
data_Pm2Sc2Tl7
_symmetry_space_group_name_H-M 'P 1'
_symmetry_Int_Tables_number 1
_symmetry_space_group_name_Hall 'P 1'
_cell_length_a 6.696
_cell_length_b 7.991
_cell_length_c 6.696
_cell_angle_alpha 90.00
_cell_angle_beta 105.65
_cell_angle_gamma 90.00
loop_
_atom_site_label
_atom_site_fract_x
_atom_site_fract_y
_atom_site_fract_z
Pm1 0.691 0.000 0.309
Pm2 0.309 0.000 0.691
Sc1 0.810 0.500 0.810
Sc2 0.190 0.500 0.190
Tl1 0.000 0.305 0.500
Tl2 0.500 0.695 0.000
Tl3 0.000 0.695 0.500
Tl4 0.500 0.305 0.000
Tl5 0.000 0.000 0.000
Tl6 0.500 0.698 0.500
Tl7 0.500 0.302 0.500
```


No. 5
DFT (PBE) results for a geometry-optimized Pm6ScTl structure.

Results
Formation energy from the elements   -0.08 eV/atom
DFT total energy   -4.727 eV/atom
Volume   31.27 A^3/atom
DOS at the Fermi energy   9.9 states/eV/f.u.

Cell and atoms, written as CIF:
```
data_Pm6ScTl
_symmetry_space_group_name_H-M 'P 1'
_symmetry_Int_Tables_number 1
_symmetry_space_group_name_Hall 'P 1'
_cell_length_a 4.971
_cell_length_b 4.971
_cell_length_c 10.124
_cell_angle_alpha 90.00
_cell_angle_beta 90.00
_cell_angle_gamma 90.00
loop_
_atom_site_label
_atom_site_fract_x
_atom_site_fract_y
_atom_site_fract_z
Pm1 0.500 0.500 0.000
Pm2 0.500 0.500 0.500
Pm3 0.500 0.000 0.249
Pm4 0.500 0.000 0.751
Pm5 0.000 0.500 0.249
Pm6 0.000 0.500 0.751
Sc1 0.000 0.000 0.500
Tl1 0.000 0.000 0.000
```


No. 6
DFT (PBE) results for a geometry-optimized Pm5ScTl8 structure.

Results
Formation energy from the elements   -0.27 eV/atom
DFT total energy   -3.771 eV/atom
Volume   29.35 A^3/atom
DOS at the Fermi energy   11.6 states/eV/f.u.

Cell and atoms, written as CIF:
```
data_Pm5ScTl8
_symmetry_space_group_name_H-M 'P 1'
_symmetry_Int_Tables_number 1
_symmetry_space_group_name_Hall 'P 1'
_cell_length_a 8.113
_cell_length_b 8.113
_cell_length_c 8.113
_cell_angle_alpha 108.88
_cell_angle_beta 110.66
_cell_angle_gamma 108.88
loop_
_atom_site_label
_atom_site_fract_x
_atom_site_fract_y
_atom_site_fract_z
Pm1 0.985 0.355 0.109
Pm2 0.891 0.876 0.246
Pm3 0.754 0.645 0.630
Pm4 0.500 0.000 0.500
Pm5 0.370 0.124 0.015
Sc1 0.250 0.500 0.750
Tl1 0.124 0.725 0.023
Tl2 0.977 0.101 0.702
Tl3 0.805 0.265 0.397
Tl4 0.603 0.408 0.868
Tl5 0.460 0.592 0.195
Tl6 0.601 0.899 0.876
Tl7 0.298 0.275 0.399
Tl8 0.132 0.735 0.540
```


No. 7
DFT (PBE) results for a geometry-optimized PmSc5Tl3 structure.

Results
Formation energy from the elements   -0.26 eV/atom
DFT total energy   -5.091 eV/atom
Volume   24.42 A^3/atom
DOS at the Fermi energy   9.8 states/eV/f.u.

Cell and atoms, written as CIF:
```
data_PmSc5Tl3
_symmetry_space_group_name_H-M 'P 1'
_symmetry_Int_Tables_number 1
_symmetry_space_group_name_Hall 'P 1'
_cell_length_a 6.398
_cell_length_b 8.907
_cell_length_c 8.907
_cell_angle_alpha 120.00
_cell_angle_beta 90.00
_cell_angle_gamma 90.00
loop_
_atom_site_label
_atom_site_fract_x
_atom_site_fract_y
_atom_site_fract_z
Pm1 0.000 0.000 0.000
Pm2 0.500 0.000 0.000
Sc1 0.000 0.667 0.333
Sc2 0.500 0.333 0.667
Sc3 0.000 0.333 0.667
Sc4 0.500 0.667 0.333
Sc5 0.750 0.668 0.668
Sc6 0.750 0.000 0.332
Sc7 0.750 0.332 0.000
Sc8 0.250 0.332 0.332
Sc9 0.250 0.000 0.668
Sc10 0.250 0.668 0.000
Tl1 0.750 0.342 0.342
Tl2 0.750 0.000 0.658
Tl3 0.750 0.658 0.000
Tl4 0.250 0.658 0.658
Tl5 0.250 0.000 0.342
Tl6 0.250 0.342 0.000
```


No. 8
DFT (PBE) results for a geometry-optimized PmScTl6 structure.

Results
Formation energy from the elements   -0.20 eV/atom
DFT total energy   -3.359 eV/atom
Volume   26.80 A^3/atom
DOS at the Fermi energy   3.0 states/eV/f.u.

Cell and atoms, written as CIF:
```
data_PmScTl6
_symmetry_space_group_name_H-M 'P 1'
_symmetry_Int_Tables_number 1
_symmetry_space_group_name_Hall 'P 1'
_cell_length_a 4.757
_cell_length_b 4.757
_cell_length_c 9.473
_cell_angle_alpha 90.00
_cell_angle_beta 90.00
_cell_angle_gamma 90.00
loop_
_atom_site_label
_atom_site_fract_x
_atom_site_fract_y
_atom_site_fract_z
Pm1 0.000 0.000 0.000
Sc1 0.000 0.000 0.500
Tl1 0.500 0.500 0.000
Tl2 0.500 0.500 0.500
Tl3 0.500 0.000 0.259
Tl4 0.500 0.000 0.741
Tl5 0.000 0.500 0.259
Tl6 0.000 0.500 0.741
```


No. 9
DFT (PBE) results for a geometry-optimized PmSc5Tl4 structure.

Results
Formation energy from the elements   -0.21 eV/atom
DFT total energy   -4.794 eV/atom
Volume   24.56 A^3/atom
DOS at the Fermi energy   8.4 states/eV/f.u.

Cell and atoms, written as CIF:
```
data_PmSc5Tl4
_symmetry_space_group_name_H-M 'P 1'
_symmetry_Int_Tables_number 1
_symmetry_space_group_name_Hall 'P 1'
_cell_length_a 3.436
_cell_length_b 3.436
_cell_length_c 20.799
_cell_angle_alpha 90.00
_cell_angle_beta 90.00
_cell_angle_gamma 90.00
loop_
_atom_site_label
_atom_site_fract_x
_atom_site_fract_y
_atom_site_fract_z
Pm1 0.000 0.000 0.000
Sc1 0.500 0.500 0.117
Sc2 0.500 0.500 0.307
Sc3 0.500 0.500 0.500
Sc4 0.500 0.500 0.693
Sc5 0.500 0.500 0.883
Tl1 0.000 0.000 0.211
Tl2 0.000 0.000 0.403
Tl3 0.000 0.000 0.597
Tl4 0.000 0.000 0.789
```


No. 10
DFT (PBE) results for a geometry-optimized Pm2Sc5Tl3 structure.

Results
Formation energy from the elements   -0.05 eV/atom
DFT total energy   -4.874 eV/atom
Volume   27.85 A^3/atom
DOS at the Fermi energy   14.2 states/eV/f.u.

Cell and atoms, written as CIF:
```
data_Pm2Sc5Tl3
_symmetry_space_group_name_H-M 'P 1'
_symmetry_Int_Tables_number 1
_symmetry_space_group_name_Hall 'P 1'
_cell_length_a 6.408
_cell_length_b 9.914
_cell_length_c 9.914
_cell_angle_alpha 92.07
_cell_angle_beta 71.14
_cell_angle_gamma 71.14
loop_
_atom_site_label
_atom_site_fract_x
_atom_site_fract_y
_atom_site_fract_z
Pm1 0.142 0.568 0.149
Pm2 0.642 0.149 0.568
Pm3 0.858 0.432 0.851
Pm4 0.358 0.851 0.432
Sc1 0.415 0.243 0.928
Sc2 0.915 0.928 0.243
Sc3 0.585 0.757 0.072
Sc4 0.085 0.072 0.757
Sc5 0.494 0.756 0.756
Sc6 0.506 0.244 0.244
Sc7 0.750 0.500 0.500
Sc8 0.250 0.500 0.500
Sc9 0.006 0.244 0.244
Sc10 0.994 0.756 0.756
Tl1 0.367 0.488 0.779
Tl2 0.867 0.779 0.488
Tl3 0.633 0.512 0.221
Tl4 0.133 0.221 0.512
Tl5 0.250 0.000 0.000
Tl6 0.750 0.000 0.000
```


No. 11
DFT (PBE) results for a geometry-optimized Pm2ScTl4 structure.

Results
Formation energy from the elements   -0.21 eV/atom
DFT total energy   -3.820 eV/atom
Volume   29.78 A^3/atom
DOS at the Fermi energy   7.5 states/eV/f.u.

Cell and atoms, written as CIF:
```
data_Pm2ScTl4
_symmetry_space_group_name_H-M 'P 1'
_symmetry_Int_Tables_number 1
_symmetry_space_group_name_Hall 'P 1'
_cell_length_a 6.581
_cell_length_b 6.581
_cell_length_c 6.581
_cell_angle_alpha 94.33
_cell_angle_beta 117.53
_cell_angle_gamma 117.53
loop_
_atom_site_label
_atom_site_fract_x
_atom_site_fract_y
_atom_site_fract_z
Pm1 0.500 0.500 0.000
Pm2 0.500 0.000 0.500
Sc1 0.000 0.000 0.000
Tl1 0.500 0.000 0.000
Tl2 0.500 0.500 0.500
Tl3 0.000 0.000 0.500
Tl4 0.000 0.500 0.000
```


No. 12
DFT (PBE) results for a geometry-optimized PmSc4Tl4 structure.

Results
Formation energy from the elements   -0.11 eV/atom
DFT total energy   -4.501 eV/atom
Volume   27.24 A^3/atom
DOS at the Fermi energy   9.3 states/eV/f.u.

Cell and atoms, written as CIF:
```
data_PmSc4Tl4
_symmetry_space_group_name_H-M 'P 1'
_symmetry_Int_Tables_number 1
_symmetry_space_group_name_Hall 'P 1'
_cell_length_a 6.977
_cell_length_b 6.977
_cell_length_c 10.074
_cell_angle_alpha 90.00
_cell_angle_beta 90.00
_cell_angle_gamma 90.00
loop_
_atom_site_label
_atom_site_fract_x
_atom_site_fract_y
_atom_site_fract_z
Pm1 0.000 0.000 0.000
Pm2 0.500 0.500 0.500
Sc1 0.233 0.500 0.915
Sc2 0.767 0.500 0.915
Sc3 0.500 0.767 0.085
Sc4 0.500 0.233 0.085
Sc5 0.000 0.733 0.415
Sc6 0.000 0.267 0.415
Sc7 0.267 0.000 0.585
Sc8 0.733 0.000 0.585
Tl1 0.500 0.780 0.789
Tl2 0.500 0.220 0.789
Tl3 0.780 0.500 0.211
Tl4 0.220 0.500 0.211
Tl5 0.280 0.000 0.289
Tl6 0.720 0.000 0.289
Tl7 0.000 0.280 0.711
Tl8 0.000 0.720 0.711
```